Material: Ca2AcSbN
Method: DFT, GGA-PBE
State: relaxed

Unit cell a=4.960 b=4.960 c=5.244 alpha=90.00 beta=90.00 gamma=90.00
Fractional coordinates of all 5 atoms:
Ca: 0.000 0.500 0.000
Ca: 0.500 0.000 0.000
Ac: 0.000 0.000 0.500
Sb: 0.500 0.500 0.500
N: 0.000 0.000 0.000

Values from the calculation:
symmetry	P4/mmm (123)
V	25.800	Å³/atom
DOS at the Fermi energy	0.479	states/eV per atom
formation energy from raw total energies	-963	meV/atom
theoretical density	5702	kg/m3